Entry from the Alexandria database: a relaxed CrGaBiO2 crystal (PBE+U).

The structure in POSCAR format:
```
CrGaBiO2
1.0
3.893 0.000 0.000
0.000 5.374 0.000
0.000 0.000 3.893
O Cr Bi Ga
2 1 1 1
Direct
0.000 0.000 0.500
0.500 0.000 0.000
0.000 0.500 0.000
0.500 0.500 0.500
0.000 0.000 0.000
```

- electronic total energy (eV/atom) = -4.63
- total magnetization (μB per formula unit) = 0.133
- density (g/cm³) = 7.39